# 1
# RbCeCuI6

An optimized crystal structure of RbCeCuI6 (PBE, Alexandria via LeMat-Bulk).

It has space group P-31c (No. 163), with a = 7.6445 Å, b = 7.6445 Å, c = 16.7686 Å, α = 90.00°, β = 90.00° and γ = 120.00°. The distinct sites, in fractional coordinates, are Rb at (0.0000, 0.0000, 0.0000), Ce at (0.3333, 0.6667, 0.2500), Cu at (0.3333, 0.6667, 0.7500) and I at (0.0163, 0.3728, 0.6480).

The value obtained for the density of states at the Fermi level is 1.10 states/eV per atom. As for the crystal system: trigonal. The uncorrected formation energy comes out at -0.951 eV/atom. The magnetization comes out at 0.8 μB per cell.

---

# 2
# CeTlCu2I8

An optimized crystal structure of CeTlCu2I8 (PBE, Alexandria via LeMat-Bulk).

It has space group C2/m (No. 12), with a = 12.364 Å, b = 8.362 Å, c = 9.973 Å, α = 90.00°, β = 90.54° and γ = 90.00°. The distinct sites, in fractional coordinates, are Ce at (0.000, 0.000, 0.000), Tl at (0.000, 0.000, 0.500), Cu at (0.152, 0.500, 0.241), I at (0.010, 0.256, 0.221), I at (0.229, 0.500, 0.474) and I at (0.245, 0.000, 0.984).

The value obtained for the density of states at the Fermi level is 0.99 states/eV per atom. As for the crystal system: monoclinic. The uncorrected formation energy comes out at -0.594 eV/atom. The magnetization comes out at 0.0 μB per cell.

---

# 3
# CeInCu

An optimized crystal structure of CeInCu (PBE, Alexandria via LeMat-Bulk).

It has space group P-62m (No. 189), with a = 7.3540 Å, b = 7.3540 Å, c = 4.3085 Å, α = 90.00°, β = 90.00° and γ = 120.00°. The distinct sites, in fractional coordinates, are Ce at (0.0000, 0.5806, 0.0000), In at (0.0000, 0.2465, 0.5000), Cu at (0.0000, 0.0000, 0.0000) and Cu at (0.3333, 0.6667, 0.5000).

The value obtained for the density of states at the Fermi level is 2.31 states/eV per atom. As for the crystal system: hexagonal. As for the formation energy: -0.29 eV/atom. The magnetization comes out at 2.8 μB per cell.

---

# 4
# Ce2In3Cu

An optimized crystal structure of Ce2In3Cu (PBE, Alexandria via LeMat-Bulk).

It has space group Pmm2 (No. 25), with a = 3.638 Å, b = 4.873 Å, c = 8.492 Å, α = 90.00°, β = 90.00° and γ = 90.00°. The distinct sites, in fractional coordinates, are Ce at (0.000, 0.000, 0.000), Ce at (0.000, 0.500, 0.477), In at (0.500, 0.000, 0.635), In at (0.500, 0.500, 0.165), In at (0.500, 0.500, 0.820) and Cu at (0.500, 0.000, 0.314).

The value obtained for the density of states at the Fermi level is 2.08 states/eV per atom. As for the crystal system: orthorhombic. As for the formation energy: -0.30 eV/atom. The magnetization comes out at 2.2 μB per cell.

---

# 5
# Ce2InCu2

An optimized crystal structure of Ce2InCu2 (PBE, Alexandria via LeMat-Bulk).

It has space group P4/mbm (No. 127), with a = 8.297 Å, b = 8.297 Å, c = 3.276 Å, α = 90.00°, β = 90.00° and γ = 90.00°. The distinct sites, in fractional coordinates, are Ce at (0.120, 0.380, 0.000), In at (0.000, 0.000, 0.000) and Cu at (0.173, 0.673, 0.500).

The value obtained for the density of states at the Fermi level is 1.94 states/eV per atom. As for the crystal system: tetragonal. As for the formation energy: 0.07 eV/atom. The magnetization comes out at 2.3 μB per cell.

---

# 6
# CeIn2Cu

An optimized crystal structure of CeIn2Cu (PBE, Alexandria via LeMat-Bulk).

It has space group P4/mmm (No. 123), with a = 4.493 Å, b = 4.493 Å, c = 4.677 Å, α = 90.00°, β = 90.00° and γ = 90.00°. The distinct sites, in fractional coordinates, are Ce at (0.000, 0.000, 0.000), In at (0.000, 0.500, 0.500) and Cu at (0.500, 0.500, 0.000).

The value obtained for the density of states at the Fermi level is 1.93 states/eV per atom. As for the crystal system: tetragonal. As for the formation energy: -0.13 eV/atom. The magnetization comes out at 0.9 μB per cell.

---

# 7
# Ce2In5Cu3

An optimized crystal structure of Ce2In5Cu3 (PBE, Alexandria via LeMat-Bulk).

It has space group Cmc2_1 (No. 36), with a = 4.607 Å, b = 26.160 Å, c = 7.277 Å, α = 90.00°, β = 90.00° and γ = 90.00°. The distinct sites, in fractional coordinates, are Ce at (0.000, 0.018, 0.000), Ce at (0.000, 0.329, 0.035), In at (0.000, 0.100, 0.344), In at (0.000, 0.204, 0.835), In at (0.000, 0.211, 0.244), In at (0.000, 0.377, 0.517), In at (0.000, 0.449, 0.184), Cu at (0.000, 0.106, 0.727), Cu at (0.000, 0.273, 0.543) and Cu at (0.000, 0.452, 0.791).

The value obtained for the density of states at the Fermi level is 1.41 states/eV per atom. As for the crystal system: orthorhombic. As for the formation energy: -0.24 eV/atom. The magnetization comes out at 6.5 μB per cell.

---

# 8
# CeIn7Cu5

An optimized crystal structure of CeIn7Cu5 (PBE, Alexandria via LeMat-Bulk).

It has space group Imm2 (No. 44), with a = 5.578 Å, b = 9.557 Å, c = 9.536 Å, α = 90.00°, β = 90.00° and γ = 90.00°. The distinct sites, in fractional coordinates, are Ce at (0.000, 0.000, 0.000), In at (0.000, 0.000, 0.345), In at (0.000, 0.000, 0.663), In at (0.000, 0.303, 0.486), In at (0.000, 0.341, 0.013), In at (0.000, 0.500, 0.728), Cu at (0.000, 0.500, 0.268) and Cu at (0.244, 0.243, 0.749).

The value obtained for the density of states at the Fermi level is 0.76 states/eV per atom. As for the crystal system: orthorhombic. As for the formation energy: -0.08 eV/atom. The magnetization comes out at 2.0 μB per cell.

---

# 9
# CeInCu

An optimized crystal structure of CeInCu (PBE, Alexandria via LeMat-Bulk).

It has space group Fddd (No. 70, origin choice 2), with a = 8.166 Å, b = 9.548 Å, c = 14.982 Å, α = 90.00°, β = 90.00° and γ = 90.00°. The distinct sites, in fractional coordinates, are Ce at (0.125, 0.125, 0.302), In at (0.000, 0.000, 0.500) and Cu at (0.024, 0.375, 0.375).

The value obtained for the density of states at the Fermi level is 2.16 states/eV per atom. As for the crystal system: orthorhombic. As for the formation energy: -0.04 eV/atom. The magnetization comes out at 14.0 μB per cell.

---

# 10
# CeIn3Cu8

An optimized crystal structure of CeIn3Cu8 (PBE, Alexandria via LeMat-Bulk).

It has space group R3m (No. 160, hexagonal axes), with a = 5.0936 Å, b = 5.0936 Å, c = 25.5722 Å, α = 90.00°, β = 90.00° and γ = 120.00°. The distinct sites, in fractional coordinates, are Ce at (0.0000, 0.0000, 0.0000), In at (0.0000, 0.0000, 0.1259), In at (0.0000, 0.0000, 0.4998), In at (0.0000, 0.0000, 0.6202), Cu at (0.0000, 0.0000, 0.3114), Cu at (0.0000, 0.0000, 0.8126), Cu at (0.0018, 0.5009, 0.0649) and Cu at (0.1679, 0.3359, 0.8936).

The value obtained for the density of states at the Fermi level is 0.55 states/eV per atom. As for the crystal system: trigonal. As for the formation energy: -0.09 eV/atom. The magnetization comes out at 1.5 μB per cell.

---

# 11
# Ce11In9Cu4

An optimized crystal structure of Ce11In9Cu4 (PBE, Alexandria via LeMat-Bulk).

It has space group Cmmm (No. 65), with a = 15.344 Å, b = 21.819 Å, c = 3.639 Å, α = 90.00°, β = 90.00° and γ = 90.00°. The distinct sites, in fractional coordinates, are Ce at (0.000, 0.000, 0.000), Ce at (0.000, 0.148, 0.000), Ce at (0.000, 0.372, 0.000), Ce at (0.187, 0.500, 0.000), Ce at (0.243, 0.186, 0.000), In at (0.000, 0.500, 0.500), In at (0.097, 0.261, 0.500), In at (0.155, 0.072, 0.500) and Cu at (0.151, 0.395, 0.500).

The value obtained for the density of states at the Fermi level is 2.52 states/eV per atom. As for the crystal system: orthorhombic. As for the formation energy: -0.30 eV/atom. The magnetization comes out at 6.6 μB per cell.

---

# 12
# CeInCu

An optimized crystal structure of CeInCu (PBE, Alexandria via LeMat-Bulk).

It has space group Pmma (No. 51), with a = 13.056 Å, b = 4.202 Å, c = 7.424 Å, α = 90.00°, β = 90.00° and γ = 90.00°. The distinct sites, in fractional coordinates, are Ce at (0.042, 0.000, 0.241), Ce at (0.250, 0.000, 0.867), In at (0.127, 0.500, 0.574), In at (0.250, 0.500, 0.207), Cu at (0.091, 0.500, 0.950) and Cu at (0.250, 0.000, 0.450).

The value obtained for the density of states at the Fermi level is 2.18 states/eV per atom. As for the crystal system: orthorhombic. As for the formation energy: -0.27 eV/atom. The magnetization comes out at 5.6 μB per cell.

---

# 13
# CeInCu

An optimized crystal structure of CeInCu (PBE, Alexandria via LeMat-Bulk).

It has space group P-6m2 (No. 187), with a = 4.7545 Å, b = 4.7545 Å, c = 3.4917 Å, α = 90.00°, β = 90.00° and γ = 120.00°. The distinct sites, in fractional coordinates, are Ce at (0.0000, 0.0000, 0.0000), In at (0.3333, 0.6667, 0.5000) and Cu at (0.6667, 0.3333, 0.5000).

The value obtained for the density of states at the Fermi level is 1.97 states/eV per atom. As for the crystal system: hexagonal. As for the formation energy: -0.24 eV/atom. The magnetization comes out at 1.1 μB per cell.

---

# 14
# CeIn2Cu

An optimized crystal structure of CeIn2Cu (PBE, Alexandria via LeMat-Bulk).

It has space group R-3m (No. 166, hexagonal axes), with a = 3.1861 Å, b = 3.1861 Å, c = 32.4669 Å, α = 90.00°, β = 90.00° and γ = 120.00°. The distinct sites, in fractional coordinates, are Ce at (0.0000, 0.0000, 0.0000), In at (0.0000, 0.0000, 0.1011) and Cu at (0.0000, 0.0000, 0.5000).

The value obtained for the density of states at the Fermi level is 1.43 states/eV per atom. As for the crystal system: trigonal. As for the formation energy: 0.22 eV/atom. The magnetization comes out at 1.6 μB per cell.

---

# 15
# Ce2InCu3

An optimized crystal structure of Ce2InCu3 (PBE, Alexandria via LeMat-Bulk).

It has space group Imm2 (No. 44), with a = 3.720 Å, b = 4.282 Å, c = 16.368 Å, α = 90.00°, β = 90.00° and γ = 90.00°. The distinct sites, in fractional coordinates, are Ce at (0.000, 0.000, 0.000), Ce at (0.000, 0.500, 0.279), In at (0.000, 0.000, 0.606), Cu at (0.000, 0.000, 0.439), Cu at (0.000, 0.500, 0.696) and Cu at (0.000, 0.500, 0.845).

The value obtained for the density of states at the Fermi level is 2.08 states/eV per atom. As for the crystal system: orthorhombic. As for the formation energy: -0.12 eV/atom. The magnetization comes out at 3.8 μB per cell.

---

# 16
# CeIn2Cu2

An optimized crystal structure of CeIn2Cu2 (PBE, Alexandria via LeMat-Bulk).

It has space group P2_1/m (No. 11), with a = 4.645 Å, b = 4.397 Å, c = 10.476 Å, α = 90.00°, β = 93.45° and γ = 90.00°. The distinct sites, in fractional coordinates, are Ce at (0.219, 0.250, 0.242), In at (0.249, 0.750, 0.496), In at (0.327, 0.250, 0.884), Cu at (0.156, 0.750, 0.006) and Cu at (0.269, 0.250, 0.640).

The value obtained for the density of states at the Fermi level is 1.67 states/eV per atom. As for the crystal system: monoclinic. As for the formation energy: -0.20 eV/atom. The magnetization comes out at 2.0 μB per cell.

---

# 17
# Ce2InCu2

An optimized crystal structure of Ce2InCu2 (PBE, Alexandria via LeMat-Bulk).

It has space group P4/mbm (No. 127), with a = 7.671 Å, b = 7.671 Å, c = 3.822 Å, α = 90.00°, β = 90.00° and γ = 90.00°. The distinct sites, in fractional coordinates, are Ce at (0.176, 0.324, 0.000), In at (0.000, 0.000, 0.500) and Cu at (0.119, 0.619, 0.500).

The value obtained for the density of states at the Fermi level is 1.90 states/eV per atom. As for the crystal system: tetragonal. As for the formation energy: -0.25 eV/atom. The magnetization comes out at 2.1 μB per cell.

---

# 18
# LaCeInCu

An optimized crystal structure of LaCeInCu (PBE, Alexandria via LeMat-Bulk).

It has space group F-43m (No. 216), with a = 7.581 Å, b = 7.581 Å, c = 7.581 Å, α = 90.00°, β = 90.00° and γ = 90.00°. The distinct sites, in fractional coordinates, are La at (0.000, 0.000, 0.000), Ce at (0.000, 0.000, 0.500), In at (0.250, 0.250, 0.250) and Cu at (0.250, 0.250, 0.750).

The value obtained for the density of states at the Fermi level is 2.68 states/eV per atom. As for the crystal system: cubic. As for the formation energy: -0.17 eV/atom. The magnetization comes out at 5.4 μB per cell.

---

# 19
# CeMgInCu

An optimized crystal structure of CeMgInCu (PBE, Alexandria via LeMat-Bulk).

It has space group F-43m (No. 216), with a = 7.111 Å, b = 7.111 Å, c = 7.111 Å, α = 90.00°, β = 90.00° and γ = 90.00°. The distinct sites, in fractional coordinates, are Ce at (0.000, 0.000, 0.000), Mg at (0.000, 0.000, 0.500), In at (0.250, 0.250, 0.250) and Cu at (0.250, 0.250, 0.750).

The value obtained for the density of states at the Fermi level is 1.52 states/eV per atom. As for the crystal system: cubic. As for the formation energy: -0.19 eV/atom. The magnetization comes out at 2.6 μB per cell.

---

# 20
# CeNdInCu

An optimized crystal structure of CeNdInCu (PBE, Alexandria via LeMat-Bulk).

It has space group F-43m (No. 216), with a = 7.509 Å, b = 7.509 Å, c = 7.509 Å, α = 90.00°, β = 90.00° and γ = 90.00°. The distinct sites, in fractional coordinates, are Ce at (0.000, 0.000, 0.000), Nd at (0.000, 0.000, 0.500), In at (0.250, 0.250, 0.250) and Cu at (0.250, 0.250, 0.750).

The value obtained for the density of states at the Fermi level is 2.64 states/eV per atom. As for the crystal system: cubic. As for the formation energy: -0.16 eV/atom. The magnetization comes out at 5.8 μB per cell.

---

# 21
# CeInCuPd

An optimized crystal structure of CeInCuPd (PBE, Alexandria via LeMat-Bulk).

It has space group F-43m (No. 216), with a = 6.851 Å, b = 6.851 Å, c = 6.851 Å, α = 90.00°, β = 90.00° and γ = 90.00°. The distinct sites, in fractional coordinates, are Ce at (0.000, 0.000, 0.000), In at (0.000, 0.000, 0.500), Cu at (0.250, 0.250, 0.750) and Pd at (0.250, 0.250, 0.250).

The value obtained for the density of states at the Fermi level is 1.58 states/eV per atom. As for the crystal system: cubic. As for the formation energy: -0.44 eV/atom. The magnetization comes out at 1.8 μB per cell.

---

# 22
# CeIn2CuPd4

An optimized crystal structure of CeIn2CuPd4 (PBE, Alexandria via LeMat-Bulk).

It has space group R-3m (No. 166, hexagonal axes), with a = 4.6250 Å, b = 4.6250 Å, c = 24.0212 Å, α = 90.00°, β = 90.00° and γ = 120.00°. The distinct sites, in fractional coordinates, are Ce at (0.0000, 0.0000, 0.0000), In at (0.0000, 0.0000, 0.2418), Cu at (0.0000, 0.0000, 0.5000), Pd at (0.0000, 0.0000, 0.1266) and Pd at (0.0000, 0.0000, 0.3925).

The value obtained for the density of states at the Fermi level is 1.03 states/eV per atom. As for the crystal system: trigonal. As for the formation energy: -0.50 eV/atom. The magnetization comes out at 2.3 μB per cell.

---

# 23
# CePmInCu

An optimized crystal structure of CePmInCu (PBE, Alexandria via LeMat-Bulk).

It has space group F-43m (No. 216), with a = 7.483 Å, b = 7.483 Å, c = 7.483 Å, α = 90.00°, β = 90.00° and γ = 90.00°. The distinct sites, in fractional coordinates, are Ce at (0.000, 0.000, 0.000), Pm at (0.000, 0.000, 0.500), In at (0.250, 0.250, 0.750) and Cu at (0.250, 0.250, 0.250).

The value obtained for the density of states at the Fermi level is 2.58 states/eV per atom. As for the crystal system: cubic. As for the formation energy: -0.17 eV/atom. The magnetization comes out at 5.7 μB per cell.

---

Calculated volume (computed, Å³/atom): 47.15; 42.96; 22.42; 25.09; 22.55; 23.61; 21.93; 19.55; 24.33; 15.96; 25.38; 22.63; 22.79; 23.79; 21.73; 21.36; 22.49; 27.23; 22.47; 26.47; 20.10; 18.54; 26.19